Record 1
Here is a relaxed PrIn4Pb crystal from Alexandria via LeMat-Bulk. Energies are from GGA-PBE.

The space group is F-43m (No. 216) and the conventional cell measures 8.7312, 8.7312 and 8.7312 Å, with angles of 90.00, 90.00 and 90.00 degrees. The distinct sites, in fractional coordinates, are Pr at (0.0000, 0.0000, 0.0000), In at (0.1249, 0.1249, 0.6249) and Pb at (0.2500, 0.2500, 0.2500).

The density of states at the Fermi level comes out at 0.618 states/eV per atom. Its energy of formation from the pure elements is -0.99 eV per formula unit. The calculation puts the volume at 27.73 Å³/atom. Its crystal system is cubic.

Record 2
Here is a relaxed CoRu2 crystal from Alexandria via LeMat-Bulk. Energies are from GGA-PBE.

The space group is I4/mcm (No. 140) and the conventional cell measures 5.8586, 5.8586 and 4.5628 Å, with angles of 90.00, 90.00 and 90.00 degrees. The distinct sites, in fractional coordinates, are Co at (0.0000, 0.0000, 0.2500) and Ru at (0.1498, 0.3502, 0.0000).

The density of states at the Fermi level comes out at 1.514 states/eV per atom. Its energy of formation from the pure elements is 0.80 eV per formula unit. The calculation puts the volume at 13.05 Å³/atom. Its crystal system is tetragonal.

Record 3
Here is a relaxed NbGeTePO crystal from Alexandria via LeMat-Bulk. Energies are from GGA-PBE.

The space group is Cm (No. 8) and the conventional cell measures 12.7639, 3.3090 and 6.9285 Å, with angles of 90.00, 121.09 and 90.00 degrees. The distinct sites, in fractional coordinates, are Nb at (0.0000, 0.0000, 0.0000), Ge at (0.2067, 0.5000, 0.9088), Te at (0.3887, 0.0000, 0.6116), P at (0.1636, 0.5000, 0.2194) and O at (0.3887, 0.5000, 0.0930).

The density of states at the Fermi level comes out at 0.638 states/eV per atom. The calculation puts the volume at 25.06 Å³/atom. For the raw formation energy, the calculation gives -511 meV/atom. Its crystal system is monoclinic.

Record 4
Here is a relaxed Pr6P3S2I crystal from Alexandria via LeMat-Bulk. Energies are from GGA-PBE.

The space group is C2/m (No. 12) and the conventional cell measures 18.5496, 4.1923 and 8.5795 Å, with angles of 90.00, 104.36 and 90.00 degrees. The distinct sites, in fractional coordinates, are Pr at (0.0007, 0.0000, 0.2169), Pr at (0.1649, 0.5000, 0.0893), Pr at (0.1796, 0.5000, 0.5843), P at (0.0000, 0.5000, 0.0000), P at (0.1628, 0.0000, 0.3326), S at (0.1674, 0.0000, 0.8328) and I at (0.0000, 0.5000, 0.5000).

The density of states at the Fermi level comes out at 0.392 states/eV per atom. The calculation puts the volume at 26.93 Å³/atom. For the raw formation energy, the calculation gives -1636 meV/atom. Its crystal system is monoclinic.

> What is the formula in the third record?

NbGeTePO